Here is a crystal of Ba2TlCl relaxed with PBEsol from the Alexandria database. Energies are from meta-GGA SCAN. Values from VASP.

```
&SYSTEM
  ibrav = 0, nat = 4, ntyp = 3
/
ATOMIC_SPECIES
Tl 204.38 Tl.upf
Ba 137.33 Ba.upf
Cl 35.45 Cl.upf
ATOMIC_POSITIONS angstrom
Tl -2.4840 1.7635 1.7874
Ba -5.6494 3.6804 1.6440
Ba -4.6156 -0.3457 0.2029
Cl -2.4492 -1.8837 -1.3560
CELL_PARAMETERS angstrom
-1.9555 0.7275 -3.4353
-2.8083 -4.5906 0.6264
-3.7505 2.9931 5.1201
```

**Symmetry**: Amm2, No. 38
**Distance to the lowest polymorph of the same formula**: 0.0685 eV/atom
**Raw formation energy**: -120.7 kJ per mole of atoms
**VASP energy**: -164.44 eV per cell
**Volume**: 36.6 Å³ per atom
**Calculated density**: 5.84 g cm⁻³

---

Here is a crystal of BaTlCl relaxed with PBEsol from the Alexandria database. Energies are from meta-GGA SCAN. Values from VASP.

```
&SYSTEM
  ibrav = 0, nat = 3, ntyp = 3
/
ATOMIC_SPECIES
Tl 204.38 Tl.upf
Ba 137.33 Ba.upf
Cl 35.45 Cl.upf
ATOMIC_POSITIONS angstrom
Tl 5.4379 3.1396 2.2200
Ba 2.7190 1.5698 1.1100
Cl 0.0000 0.0000 0.0000
CELL_PARAMETERS angstrom
5.4379 0.0000 0.0000
2.7190 4.7094 0.0000
2.7190 1.5698 4.4401
```

**Symmetry**: F-43m, No. 216
**Raw formation energy**: -80.5 kJ per mole of atoms
**VASP energy**: -122.39 eV per cell
**Volume**: 37.9 Å³ per atom
**Calculated density**: 5.51 g cm⁻³

---

Here is a crystal of Ba2TlCl relaxed with PBEsol from the Alexandria database. Energies are from meta-GGA SCAN. Values from VASP.

```
&SYSTEM
  ibrav = 0, nat = 4, ntyp = 3
/
ATOMIC_SPECIES
Tl 204.38 Tl.upf
Ba 137.33 Ba.upf
Cl 35.45 Cl.upf
ATOMIC_POSITIONS angstrom
Tl 2.0394 2.0973 0.0149
Ba 0.0000 4.1355 6.9478
Ba 0.0000 -0.0153 2.0964
Cl 2.0394 -0.0372 4.5073
CELL_PARAMETERS angstrom
4.0788 0.0000 0.0000
0.0000 4.1945 0.0297
0.0000 -0.0743 9.0145
```

**Symmetry**: P2/m, No. 10
**Distance to the lowest polymorph of the same formula**: 0.0000 eV/atom
**Raw formation energy**: -127.3 kJ per mole of atoms
**VASP energy**: -164.71 eV per cell
**Volume**: 38.6 Å³ per atom
**Calculated density**: 5.54 g cm⁻³

---

Here is a crystal of BaTlCl4 relaxed with PBEsol from the Alexandria database. Energies are from meta-GGA SCAN. Values from VASP.

```
&SYSTEM
  ibrav = 0, nat = 6, ntyp = 3
/
ATOMIC_SPECIES
Ba 137.33 Ba.upf
Cl 35.45 Cl.upf
Tl 204.38 Tl.upf
ATOMIC_POSITIONS angstrom
Ba 0.0000 0.0000 0.0000
Cl 4.5365 2.6191 1.8520
Cl 6.0494 3.4926 4.3226
Cl 7.5623 2.6191 1.8520
Cl 6.0494 5.2396 1.8520
Tl 9.0741 5.2389 3.7045
CELL_PARAMETERS angstrom
6.0494 0.0000 0.0000
3.0247 5.2389 0.0000
3.0247 1.7463 4.9393
```

**Symmetry**: F-43m, No. 216
**Raw formation energy**: -104.3 kJ per mole of atoms
**VASP energy**: -150.30 eV per cell
**Volume**: 26.1 Å³ per atom
**Calculated density**: 5.13 g cm⁻³

---

Here is a crystal of BaTlCl2 relaxed with PBEsol from the Alexandria database. Energies are from meta-GGA SCAN. Values from VASP.

```
&SYSTEM
  ibrav = 0, nat = 4, ntyp = 3
/
ATOMIC_SPECIES
Tl 204.38 Tl.upf
Ba 137.33 Ba.upf
Cl 35.45 Cl.upf
ATOMIC_POSITIONS angstrom
Tl -2.1293 -1.7481 -1.6073
Ba -1.1551 -2.8054 1.6891
Cl 0.0000 0.0000 0.0000
Cl 0.7913 -3.4247 -0.7607
CELL_PARAMETERS angstrom
-4.0757 -1.1289 0.8425
-0.1829 -2.3674 -4.0571
1.7655 -4.4819 2.5357
```

**Symmetry**: Pmmm, No. 47
**Raw formation energy**: -159.8 kJ per mole of atoms
**VASP energy**: -134.49 eV per cell
**Volume**: 27.6 Å³ per atom
**Calculated density**: 6.21 g cm⁻³

---

Here is a crystal of BaWCl2 relaxed with PBEsol from the Alexandria database. Energies are from meta-GGA SCAN. Values from VASP.

```
&SYSTEM
  ibrav = 0, nat = 4, ntyp = 3
/
ATOMIC_SPECIES
Ba 137.33 Ba.upf
W 183.84 W.upf
Cl 35.45 Cl.upf
ATOMIC_POSITIONS angstrom
Ba 1.7874 0.0072 0.0108
W 0.0380 1.6903 2.5435
Cl -0.8747 -1.0681 2.5354
Cl -0.8747 2.7512 -0.0028
CELL_PARAMETERS angstrom
3.5747 0.0144 0.0217
-1.7493 5.5025 -0.0055
-1.7493 -2.1363 5.0709
```

**Symmetry**: C2/m, No. 12
**Raw formation energy**: 5.2 kJ per mole of atoms
**VASP energy**: -124.98 eV per cell
**Volume**: 25.0 Å³ per atom
**Calculated density**: 6.50 g cm⁻³

---

Here is a crystal of BaY2Cl8 relaxed with PBEsol from the Alexandria database. Energies are from meta-GGA SCAN. Values from VASP.

```
&SYSTEM
  ibrav = 0, nat = 22, ntyp = 3
/
ATOMIC_SPECIES
Ba 137.33 Ba.upf
Y 88.91 Y.upf
Cl 35.45 Cl.upf
ATOMIC_POSITIONS angstrom
Ba 10.5927 1.6389 1.8867
Ba 7.6005 10.6148 6.2922
Y 5.5341 1.2377 1.7145
Y 5.3275 6.0779 6.1199
Y 12.8658 6.1758 2.0590
Y 12.6591 11.0160 6.4644
Cl 10.8949 7.8501 2.6141
Cl 8.0281 9.9441 3.2652
Cl 10.9500 4.6222 1.5122
Cl 7.7719 8.5504 0.2064
Cl 13.4699 8.5604 7.0196
Cl 14.3329 5.1168 7.6707
Cl 10.4994 9.8246 5.9177
Cl 12.9451 5.4031 4.6118
Cl 5.2482 6.8506 3.5671
Cl 7.6938 2.4291 2.2612
Cl 3.8603 7.1370 0.5082
Cl 4.7234 3.6933 1.1593
Cl 10.4213 3.7033 7.9725
Cl 7.2433 7.6315 6.6666
Cl 10.1651 2.3096 4.9136
Cl 7.2983 4.4037 5.5647
CELL_PARAMETERS angstrom
9.6738 0.7365 -0.3160
4.3184 8.6878 -0.3160
4.2010 2.8295 8.8109
```

**Symmetry**: C2/c, No. 15
**Raw formation energy**: -249.6 kJ per mole of atoms
**VASP energy**: -375.04 eV per cell
**Volume**: 33.1 Å³ per atom
**Calculated density**: 2.73 g cm⁻³

---

Here is a crystal of Ba2YCl7 relaxed with PBEsol from the Alexandria database. Energies are from meta-GGA SCAN. Values from VASP.

```
&SYSTEM
  ibrav = 0, nat = 20, ntyp = 3
/
ATOMIC_SPECIES
Ba 137.33 Ba.upf
Y 88.91 Y.upf
Cl 35.45 Cl.upf
ATOMIC_POSITIONS angstrom
Ba 3.9386 1.3183 2.2334
Ba 8.0700 6.3379 6.2380
Ba 7.9414 3.7012 1.7711
Ba 12.0728 8.7208 5.7757
Y 11.7573 6.5788 2.0209
Y 4.2541 3.4603 5.9883
Cl 3.0261 4.1076 1.2187
Cl 8.9825 9.1272 5.2233
Cl 1.2235 1.0136 0.5227
Cl 5.8833 7.3683 3.6083
Cl 8.9049 6.5788 2.0209
Cl 10.7850 6.0331 4.5273
Cl 5.8833 5.7893 0.4334
Cl 10.1281 4.2498 7.5758
Cl 5.2264 4.0060 3.4819
Cl 7.1065 3.4603 5.9883
Cl 10.1281 2.6708 4.4008
Cl 14.7879 9.0255 7.4865
Cl 7.0289 0.9119 2.7859
Cl 12.9853 5.9315 6.7904
CELL_PARAMETERS angstrom
8.0057 0.0000 0.0000
4.0029 8.1380 0.0372
4.0029 1.9011 7.9720
```

**Symmetry**: C2/c, No. 15
**Distance to the lowest polymorph of the same formula**: 0.0000 eV/atom
**Raw formation energy**: -258.8 kJ per mole of atoms
**VASP energy**: -379.22 eV per cell
**Volume**: 25.9 Å³ per atom
**Calculated density**: 3.92 g cm⁻³

---

Question: Number 8 is which compound?
Answer: Ba2YCl7